(1)
4
Lattice="5.349 0.000 0.000 0.000 5.349 0.000 0.000 0.000 5.349" Properties=species:S:1:pos:R:3 comment="Ac3In (PBE, relaxed)" vol_a3_per_atom=38.268 m_tot_mub_per_atom=0.001 e_above_lowest_polymorph_mev_per_atom=9 density_kg_m3=8633 dos_at_fermi_per_ev_cell=7.20 space_group="Pm-3m, No. 221" pbc="T T T"
Ac 0.000 0.000 2.675
Ac 0.000 2.675 0.000
Ac 2.675 0.000 0.000
In 2.675 2.675 2.675

(2)
10
Lattice="5.016 -2.906 0.000 5.016 2.906 0.000 -1.362 0.000 7.094" Properties=species:S:1:pos:R:3 comment="Ho2PuCo2 (PBE, relaxed)" vol_a3_per_atom=20.684 m_tot_mub_per_atom=0.898 final_energy_ev_per_fu=-38.7 density_kg_m3=11107 dos_at_fermi_per_ev_cell=19.71 space_group="C2/c, No. 15" pbc="T T T"
Ho 1.315 0.689 1.055
Ho 0.634 -0.689 4.602
Ho 8.036 0.689 2.492
Ho 7.355 -0.689 6.039
Pu 4.676 0.577 1.774
Pu 3.994 -0.577 5.321
Co 2.846 0.850 3.478
Co 2.165 -0.850 7.025
Co 6.505 0.850 0.069
Co 5.824 -0.850 3.616

(3)
5
Lattice="4.792 0.000 0.000 0.000 4.792 0.000 0.000 0.000 5.103" Properties=species:S:1:pos:R:3 comment="SrTaIr2W (PBE, relaxed)" vol_a3_per_atom=23.433 m_tot_mub_per_atom=0.399 final_energy_ev_per_fu=-35.3 density_kg_m3=11860 dos_at_fermi_per_ev_cell=6.38 space_group="P4/mmm, No. 123" pbc="T T T"
Sr 0.000 0.000 0.000
Ta 2.396 2.396 0.000
Ir 0.000 2.396 2.551
Ir 2.396 0.000 2.551
W 0.000 0.000 2.551

(4)
18
Lattice="-4.603 4.921 5.134 4.603 -4.921 5.134 4.603 4.921 -5.134" Properties=species:S:1:pos:R:3 comment="Dy6Ni2Te (PBE, relaxed)" vol_a3_per_atom=25.843 m_tot_mub_per_atom=0.000 density_kg_m3=8710 formation_energy_uncorrected_mev_per_atom=-437 dos_at_fermi_per_ev_cell=16.32 space_group="Immm, No. 71" pbc="T T T"
Dy 4.603 2.883 -2.831
Dy 2.741 1.769 0.000
Dy 6.465 1.769 0.000
Dy 1.730 4.921 -1.790
Dy 2.873 0.000 3.344
Dy 0.000 2.038 2.303
Dy 4.603 2.883 2.831
Dy 1.730 4.921 1.790
Dy 2.873 0.000 6.923
Dy -1.862 3.153 5.134
Dy 1.862 3.153 5.134
Dy 0.000 2.038 7.965
Ni 4.603 0.000 1.279
Ni 0.000 3.544 0.000
Ni 0.000 6.298 0.000
Ni 0.000 4.921 3.854
Te 0.000 0.000 0.000
Te 0.000 0.000 5.134

(5)
5
Lattice="4.723 0.000 0.000 0.000 4.723 0.000 0.000 0.000 4.828" Properties=species:S:1:pos:R:3 comment="TiAgS2Cl (PBE, relaxed)" vol_a3_per_atom=21.539 m_tot_mub_per_atom=0.000 e_above_lowest_polymorph_mev_per_atom=0 density_kg_m3=3937 formation_energy_uncorrected_mev_per_atom=-557 dos_at_fermi_per_ev_cell=1.99 space_group="P4/mmm, No. 123" pbc="T T T"
Ti 0.000 0.000 0.000
Ag 2.362 2.362 2.414
S 0.000 2.362 0.000
S 2.362 0.000 0.000
Cl 0.000 0.000 2.414

(6)
18
Lattice="9.943 0.000 0.000 0.000 9.943 0.000 0.000 0.000 5.252" Properties=species:S:1:pos:R:3 comment="Y6Sc2Zn (PBE, relaxed)" vol_a3_per_atom=28.845 m_tot_mub_per_atom=0.000 final_energy_ev_per_fu=-52.8 density_kg_m3=4406 dos_at_fermi_per_ev_cell=33.34 space_group="P4_2/mnm, No. 136" pbc="T T T"
Y 0.404 3.095 0.000
Y 1.199 8.743 2.626
Y 1.876 5.375 2.626
Y 3.095 0.404 0.000
Y 3.772 3.772 0.000
Y 4.567 8.066 2.626
Y 5.375 1.876 2.626
Y 6.171 6.171 0.000
Y 6.848 9.539 0.000
Y 8.066 4.567 2.626
Y 8.743 1.199 2.626
Y 9.539 6.848 0.000
Sc 2.119 2.119 2.626
Sc 2.853 7.090 0.000
Sc 7.090 2.853 0.000
Sc 7.824 7.824 2.626
Zn 0.000 0.000 0.000
Zn 4.971 4.971 2.626

(7)
4
Lattice="3.019 0.000 0.000 0.000 4.519 0.000 -0.009 0.000 4.407" Properties=species:S:1:pos:R:3 comment="Si2AgRh (PBE, relaxed)" vol_a3_per_atom=15.031 m_tot_mub_per_atom=0.000 e_above_lowest_polymorph_mev_per_atom=57 density_kg_m3=7373 formation_energy_uncorrected_mev_per_atom=-112 dos_at_fermi_per_ev_cell=1.00 space_group="Pm, No. 6" pbc="T T T"
Si 0.000 0.000 0.000
Si 1.498 2.260 3.509
Ag 1.506 0.000 2.207
Rh 0.000 2.260 0.996

(8)
32
Lattice="5.937 -5.947 0.000 5.937 5.947 0.000 -2.724 0.000 15.336" Properties=species:S:1:pos:R:3 comment="NaAlTe2 (PBE, relaxed)" vol_a3_per_atom=33.845 m_tot_mub_per_atom=0.000 density_kg_m3=3743 formation_energy_uncorrected_mev_per_atom=-669 dos_at_fermi_per_ev_cell=0.00 space_group="C2/c, No. 15" pbc="T T T"
Na 3.222 4.405 13.907
Na 4.566 4.405 9.096
Na 1.331 0.176 13.392
Na 2.693 -0.176 5.725
Na 6.457 0.176 9.611
Na 7.819 -0.176 1.943
Na 4.584 -4.405 6.239
Na 5.928 -4.405 1.428
Al 3.724 3.723 5.257
Al 3.857 0.851 2.353
Al 6.789 3.723 2.411
Al 2.495 -0.851 10.020
Al 6.655 0.851 5.315
Al 2.362 -3.723 12.925
Al 5.293 -0.851 12.983
Al 5.427 -3.723 10.078
Te 2.145 2.338 3.686
Te 5.256 5.325 3.834
Te 0.914 0.654 8.462
Te 2.276 -0.654 0.794
Te 5.560 2.077 0.736
Te 4.953 2.077 6.932
Te 3.894 0.829 11.502
Te 0.783 -2.338 11.354
Te 8.367 2.338 3.982
Te 5.256 -0.829 3.834
Te 4.198 -2.077 8.403
Te 3.591 -2.077 14.600
Te 6.874 0.654 14.541
Te 8.236 -0.654 6.874
Te 3.894 -5.325 11.502
Te 7.005 -2.338 11.649